Record 1
! BaLi (PBE-GGA, relaxed); values from VASP
&SYSTEM
  ibrav = 0, nat = 4, ntyp = 2
/
ATOMIC_SPECIES
Ba 137.33 Ba.upf
Li 6.94 Li.upf
ATOMIC_POSITIONS angstrom
Ba -4.816 20.179 -15.667
Li -1.033 4.330 -3.362
Ba -3.871 16.219 -12.593
Li -2.689 11.269 -8.749
CELL_PARAMETERS angstrom
-0.928 8.710 -3.317
0.298 5.997 -7.189
-4.334 6.092 -5.642
! ΔH_f (0 K)	0.073	eV per atom
! crystal system	trigonal
! total moment	0.0	μB per cell
! space-group type	No. 166
! V	46.14	Å³ per atom

=====

Record 2
! Ba5Li24 (PBE-GGA, relaxed); values from VASP
&SYSTEM
  ibrav = 0, nat = 29, ntyp = 2
/
ATOMIC_SPECIES
Li 6.94 Li.upf
Ba 137.33 Ba.upf
ATOMIC_POSITIONS angstrom
Li 5.300 3.827 0.000
Li 3.220 4.554 2.117
Li -3.571 4.359 3.315
Li -3.575 3.864 6.692
Li -1.956 2.720 1.625
Ba 6.287 0.000 0.000
Ba -2.096 -2.963 5.133
Li -1.956 0.047 3.168
Li 1.842 -3.136 5.432
Li 3.216 -0.938 1.625
Li 1.439 4.849 5.150
Li 5.300 -1.914 3.315
Li -1.491 2.888 5.003
Li 1.439 2.035 6.775
Li 0.697 -1.829 3.168
Ba 1.300 1.838 3.184
Li -0.175 -0.248 6.200
Li 0.697 3.658 0.000
Li -3.571 0.691 5.432
Li -0.175 5.493 2.885
Li 3.216 1.876 0.000
Li 1.842 6.272 0.000
Li 5.237 1.666 2.885
Ba -2.096 5.927 0.000
Li 4.092 2.973 5.150
Li 3.220 -0.443 5.003
Li 4.835 -2.082 6.692
Li 4.835 6.837 1.543
Ba 0.000 0.000 0.000
CELL_PARAMETERS angstrom
10.187 0.000 0.000
-3.396 9.604 0.000
-3.396 -4.802 8.317
! ΔH_f (0 K)	0.063	eV per atom
! crystal system	cubic
! total moment	0.0	μB per cell
! space-group type	No. 217
! V	28.06	Å³ per atom

=====

Record 3
! BaLi (PBE-GGA, relaxed); values from VASP
&SYSTEM
  ibrav = 0, nat = 12, ntyp = 2
/
ATOMIC_SPECIES
Li 6.94 Li.upf
Ba 137.33 Ba.upf
ATOMIC_POSITIONS angstrom
Li -9.432 0.005 4.326
Li -1.133 -2.652 2.691
Ba -12.214 -1.604 1.282
Ba -11.968 1.234 -2.156
Ba -5.882 -2.379 3.184
Li -14.642 1.034 0.325
Ba -8.355 0.470 0.931
Ba -3.583 0.207 0.364
Ba -2.269 -3.143 6.271
Li -2.812 -0.414 3.880
Li -9.230 -1.270 -2.177
Li -6.343 -1.624 -1.310
CELL_PARAMETERS angstrom
-14.717 1.801 -4.423
-0.331 -4.469 -0.717
-2.213 -0.955 6.975
! ΔH_f (0 K)	0.076	eV per atom
! crystal system	orthorhombic
! total moment	0.0	μB per cell
! space-group type	No. 44
! V	43.18	Å³ per atom

=====

Record 4
! Ba3Li (PBE-GGA, relaxed); values from VASP
&SYSTEM
  ibrav = 0, nat = 8, ntyp = 2
/
ATOMIC_SPECIES
Ba 137.33 Ba.upf
Li 6.94 Li.upf
ATOMIC_POSITIONS angstrom
Ba -3.403 -3.235 4.734
Li -1.237 -4.824 1.461
Li 0.216 -2.374 6.743
Ba 1.656 -7.835 2.130
Ba -2.676 0.637 6.074
Ba 2.383 -3.964 3.470
Ba -0.526 -0.889 2.854
Ba -0.494 -6.310 5.350
CELL_PARAMETERS angstrom
-4.376 3.106 6.553
-1.480 -7.881 -2.727
4.836 -2.424 4.378
! ΔH_f (0 K)	0.100	eV per atom
! crystal system	hexagonal
! total moment	0.0	μB per cell
! space-group type	No. 194
! V	54.04	Å³ per atom